{"formula": "Ca4TeN2", "functional": "GGA-PBE", "state": "relaxed", "lattice_angstrom": [[3.842, 0.000, 0.000], [-1.921, 6.249, 0.000], [0.000, 0.000, 12.603]], "species": ["Ca", "Ca", "Ca", "Ca", "Ca", "Ca", "Ca", "Ca", "Te", "Te", "N", "N", "N", "N"], "fractional_positions": [[0.759, 0.519, 0.095], [0.759, 0.519, 0.405], [0.241, 0.481, 0.905], [0.241, 0.481, 0.595], [0.922, 0.843, 0.750], [0.078, 0.157, 0.250], [0.500, 0.000, 0.000], [0.500, 0.000, 0.500], [0.611, 0.222, 0.750], [0.389, 0.778, 0.250], [0.139, 0.278, 0.433], [0.861, 0.722, 0.933], [0.139, 0.278, 0.067], [0.861, 0.722, 0.567]], "space_group": "Cmcm", "m_tot_mub_per_atom": 0.000, "final_energy_ev_per_atom": -4.95, "formation_energy_uncorrected_ev_per_atom": -0.982}